# 1
Below is an optimized crystal structure of SrEuN, with properties calculated at the PBE-GGA level.

Cell: 4.5292 4.5292 4.5292 Å, 60.00 60.00 60.00°
Atoms (fractional coordinates):
N 0.2500 0.2500 0.2500
Eu 0.0000 0.0000 0.0000
Sr 0.5000 0.5000 0.5000

Summary:
Uncorrected formation energy: -0.56 eV per formula unit
Volume: 21.9 A^3/atom
Uncorrected energy: -6.946 eV per atom
DOS(E_F): 0.587 states/eV per atom
SG: F-43m, No. 216
Total magnetization: 7.08 μB per cell

---

# 2
Below is an optimized crystal structure of TbSm7Hg2, with properties calculated at the PBE-GGA level.

Cell: 5.3230 9.1089 9.1089 Å, 119.64 90.00 90.00°
Atoms (fractional coordinates):
Hg 0.5000 0.6937 0.3063
Tb 0.0000 0.0000 0.0000
Sm 0.5000 0.3017 0.0636
Hg 0.5000 0.3063 0.6937
Sm 0.0000 0.2300 0.7700
Sm 0.5000 0.6983 0.9364
Sm 0.0000 0.7700 0.2300
Sm 0.5000 0.9364 0.6983
Sm 0.5000 0.0636 0.3017
Sm 0.5000 0.5000 0.5000

Summary:
Volume: 38.4 A^3/atom
Uncorrected energy: -3.553 eV per atom
DOS(E_F): 2.118 states/eV per atom
SG: Cmmm, No. 65
Total magnetization: 0.00 μB per cell

---

# 3
Below is an optimized crystal structure of Sm6TlSb2Se3, with properties calculated at the PBE-GGA level.

Cell: 4.2924 8.7380 9.6900 Å, 102.92 102.80 90.00°
Atoms (fractional coordinates):
Sb 0.8339 0.6672 0.6677
Sm 0.3345 0.4120 0.6690
Se 0.8315 0.1670 0.6630
Sb 0.1661 0.3328 0.3323
Se 0.1685 0.8330 0.3370
Se 0.5000 0.5000 0.0000
Sm 0.6685 0.0773 0.3370
Sm 0.3315 0.9227 0.6630
Sm 0.6655 0.5880 0.3310
Sm 0.0032 0.7408 0.0063
Tl 0.5000 0.0000 0.0000
Sm 0.9968 0.2592 0.9937

Summary:
Uncorrected formation energy: -16.17 eV per formula unit
Volume: 28.7 A^3/atom
Uncorrected energy: -5.462 eV per atom
DOS(E_F): 0.352 states/eV per atom
SG: C2/m, No. 12
Total magnetization: 0.00 μB per cell

---

# 4
Below is an optimized crystal structure of Y3Ir2, with properties calculated at the PBE-GGA level.

Cell: 8.7019 7.7586 5.9964 Å, 77.32 60.44 42.24°
Atoms (fractional coordinates):
Y 0.0994 0.9006 0.9006
Ir 0.5587 0.3450 0.8670
Y 0.7453 0.5343 0.8532
Y 0.8672 0.8532 0.5343
Ir 0.3830 0.0207 0.6913
Y 0.3494 0.1506 0.1506
Y 0.3968 0.3828 0.5047
Ir 0.9050 0.6913 0.0207
Ir 0.2293 0.8670 0.3450
Y 0.7157 0.5047 0.3828

Summary:
Volume: 22.9 A^3/atom
Uncorrected energy: -7.878 eV per atom
DOS(E_F): 0.571 states/eV per atom
SG: Fdd2, No. 43
Total magnetization: 0.00 μB per cell

---

# 5
Below is an optimized crystal structure of TiCl3F4, with properties calculated at the PBE-GGA level.

Cell: 3.9376 6.6242 16.0921 Å, 90.00 90.00 63.38°
Atoms (fractional coordinates):
F 0.4369 0.0003 0.8863
F 0.9369 0.5003 0.1137
F 0.2484 0.7554 0.1724
Cl 0.5002 0.2003 0.6202
Ti 0.9367 0.0003 0.8842
Cl 0.8662 0.2990 0.3799
F 0.4374 0.4998 0.0048
Ti 0.4367 0.5003 0.1158
Cl 0.9332 0.4997 0.6210
F 0.9374 0.9998 0.9952
Cl 0.0002 0.7003 0.3798
F 0.1258 0.7453 0.8276
Cl 0.3662 0.7990 0.6201
F 0.6258 0.2453 0.1724
Cl 0.4332 0.9997 0.3790
F 0.7484 0.2554 0.8276

Summary:
Uncorrected formation energy: -15.90 eV per formula unit
Volume: 23.5 A^3/atom
Uncorrected energy: -4.602 eV per atom
DOS(E_F): 0.300 states/eV per atom
SG: Pc, No. 7
Total magnetization: 0.00 μB per cell

---

# 6
Below is an optimized crystal structure of RbNaDy2F8, with properties calculated at the PBE-GGA level.

Cell: 3.8822 6.1523 7.7256 Å, 90.18 90.00 90.01°
Atoms (fractional coordinates):
F 0.4999 0.2837 0.9992
F 0.5000 0.6975 0.5003
F 0.5000 0.3025 0.4997
F 0.0001 0.7079 0.7641
F 0.5001 0.7163 0.0008
F 0.9999 0.2957 0.7630
Dy 0.5000 0.4990 0.2444
F 0.0001 0.7043 0.2370
Dy 0.5000 0.5010 0.7556
Na 0.0000 0.0000 0.0000
F 0.9999 0.2921 0.2359
Rb 0.0000 0.0000 0.5000

Summary:
Uncorrected formation energy: -44.03 eV per formula unit
Volume: 15.4 A^3/atom
Uncorrected energy: -5.874 eV per atom
DOS(E_F): 0.000 states/eV per atom
SG: P2/m, No. 10
Total magnetization: 0.00 μB per cell

---

# 7
Below is an optimized crystal structure of Sr4GaCN5, with properties calculated at the PBE-GGA level.

Cell: 7.4845 7.4660 13.8272 Å, 84.56 90.00 90.00°
Atoms (fractional coordinates):
Sr 0.5303 0.7303 0.1765
N 0.5092 0.3175 0.6292
C 0.5491 0.2887 0.5444
Sr 0.8418 0.1449 0.6794
Sr 0.9697 0.2303 0.1765
Sr 0.3418 0.3551 0.3206
Sr 0.7510 0.9931 0.9801
Sr 0.1582 0.8551 0.3206
Sr 0.1851 0.4958 0.6516
N 0.0092 0.1825 0.3708
Sr 0.4697 0.2697 0.8235
Ga 0.4826 0.7804 0.8592
N 0.3467 0.6235 0.7858
N 0.4079 0.7463 0.5378
Sr 0.8149 0.5042 0.3484
N 0.9944 0.7434 0.0029
Sr 0.2510 0.5069 0.0199
N 0.8571 0.4389 0.7832
Ga 0.9826 0.7196 0.1408
Sr 0.7490 0.4931 0.9801
Sr 0.2490 0.0069 0.0199
N 0.5921 0.2537 0.4622
N 0.9079 0.7537 0.4622
C 0.4509 0.7113 0.4556
N 0.4908 0.6825 0.3708
C 0.9509 0.7887 0.5444
N 0.5056 0.2434 0.0029
Sr 0.6851 0.0042 0.3484
Sr 0.0303 0.7697 0.8235
Ga 0.0174 0.2804 0.8592
C 0.0491 0.2113 0.4556
Sr 0.3149 0.9958 0.6516
N 0.1533 0.1235 0.7858
N 0.6533 0.3765 0.2142
N 0.6429 0.9389 0.7832
Sr 0.6582 0.6449 0.6794
Ga 0.5174 0.2196 0.1408
N 0.1429 0.5611 0.2168
N 0.8467 0.8765 0.2142
N 0.0056 0.2566 0.9971
N 0.9908 0.8175 0.6292
N 0.0921 0.2463 0.5378
N 0.3571 0.0611 0.2168
N 0.4944 0.7566 0.9971

Summary:
Uncorrected formation energy: -7.87 eV per formula unit
Volume: 17.5 A^3/atom
Uncorrected energy: -6.225 eV per atom
SG: P2_1/c, No. 14
Total magnetization: 0.00 μB per cell

---

# 8
Below is an optimized crystal structure of Cs2TaCdF6, with properties calculated at the PBE-GGA level.

Cell: 7.0719 7.0719 7.1048 Å, 60.15 60.15 90.00°
Atoms (fractional coordinates):
Cs 0.7500 0.2500 0.5000
F 0.1991 0.1991 0.0000
F 0.7994 0.7994 0.4013
F 0.1991 0.8009 0.0000
Ta 0.0000 0.0000 0.0000
F 0.8009 0.1991 0.0000
Cd 0.5000 0.5000 0.0000
Cs 0.2500 0.7500 0.5000
F 0.8009 0.8009 0.0000
F 0.2006 0.2006 0.5987

Summary:
Uncorrected formation energy: -25.74 eV per formula unit
Volume: 25.2 A^3/atom
Uncorrected energy: -5.144 eV per atom
DOS(E_F): 0.000 states/eV per atom
SG: I4/mmm, No. 139
Total magnetization: 1.00 μB per cell

---

# 9
Below is an optimized crystal structure of YTcSb2Te, with properties calculated at the PBE-GGA level.

Cell: 5.7634 5.7634 5.7158 Å, 90.00 90.00 90.00°
Atoms (fractional coordinates):
Tc 0.5000 0.5000 0.5000
Sb 0.5000 0.0000 0.0000
Sb 0.0000 0.5000 0.0000
Te 0.0000 0.0000 0.5000
Y 0.0000 0.0000 0.0000

Summary:
Uncorrected formation energy: 5.09 eV per formula unit
Volume: 38.0 A^3/atom
Uncorrected energy: -4.626 eV per atom
DOS(E_F): 1.045 states/eV per atom
SG: P4/mmm, No. 123
Total magnetization: 3.90 μB per cell

---

# 10
Below is an optimized crystal structure of CsP2AuS, with properties calculated at the PBE-GGA level.

Cell: 4.9540 4.9540 5.4049 Å, 90.00 90.00 90.00°
Atoms (fractional coordinates):
Au 0.0000 0.0000 0.0000
P 0.5000 0.0000 0.0000
P 0.0000 0.5000 0.0000
Cs 0.5000 0.5000 0.5000
S 0.0000 0.0000 0.5000

Summary:
Uncorrected formation energy: 2.45 eV per formula unit
Volume: 26.5 A^3/atom
Uncorrected energy: -3.326 eV per atom
DOS(E_F): 0.666 states/eV per atom
SG: P4/mmm, No. 123
Total magnetization: 1.35 μB per cell

---

# 11
Below is an optimized crystal structure of La4Sm5Dy2, with properties calculated at the PBE-GGA level.

Cell: 3.5413 9.4943 12.6214 Å, 112.09 98.06 90.00°
Atoms (fractional coordinates):
Sm 0.1512 0.3527 0.3024
Dy 0.2716 0.2716 0.5432
Sm 0.1512 0.9497 0.3024
Sm 0.8488 0.0503 0.6976
Sm 0.5000 0.0000 0.0000
Dy 0.7284 0.7284 0.4568
Sm 0.8488 0.6473 0.6976
La 0.0000 0.7105 0.0000
La 0.0000 0.2895 0.0000
La 0.4066 0.4066 0.8132
La 0.5934 0.5934 0.1868

Summary:
Volume: 35.3 A^3/atom
Uncorrected energy: -4.521 eV per atom
DOS(E_F): 1.424 states/eV per atom
SG: Immm, No. 71
Total magnetization: 0.00 μB per cell